[1]
Here is a PBEsol-optimized structure of MnSbIr2 from the Alexandria database. Energies are from meta-GGA SCAN.

Unit cell a=4.4278 b=4.4278 c=4.4278 alpha=60.00 beta=60.00 gamma=60.00
With the nearest neighbours (Å) after each atom.
Positions (direct):
Mn: 0.0000 0.0000 0.0000  4 Sb 2.71, 4 Ir 2.71
Sb: 0.7500 0.7500 0.7500  4 Ir 2.71, 4 Mn 2.71
Ir: 0.2500 0.2500 0.2500  4 Ir 2.71, 4 Mn 2.71
Ir: 0.5000 0.5000 0.5000  4 Sb 2.71, 4 Ir 2.71

* total magnetization: 0.879 μB per atom
* electronic total energy: -197.0 eV per cell
* ΔE_f (raw): 188 meV/atom

=====

[2]
Here is a PBEsol-optimized structure of ScMnIr3 from the Alexandria database. Energies are from meta-GGA SCAN.

Unit cell a=4.4255 b=4.4255 c=4.4255 alpha=90.00 beta=90.00 gamma=90.00
With the nearest neighbours (Å) after each atom.
Positions (direct):
Sc: 0.0000 0.0000 0.0000  12 Ir 3.13
Mn: 0.5000 0.5000 0.5000  6 Ir 2.21
Ir: 0.0000 0.5000 0.5000  2 Mn 2.21
Ir: 0.5000 0.0000 0.5000  2 Mn 2.21
Ir: 0.5000 0.5000 0.0000  2 Mn 2.21

* total magnetization: 0.000 μB per atom
* electronic total energy: -242.9 eV per cell
* formation energy: 570 meV/atom

=====

[3]
Here is a PBEsol-optimized structure of Sc2MnIr from the Alexandria database. Energies are from meta-GGA SCAN.

Unit cell a=5.5330 b=5.5330 c=5.5330 alpha=147.14 beta=132.10 gamma=59.30
With the nearest neighbours (Å) after each atom.
Positions (direct):
Sc: 0.0000 0.0000 0.0000  2 Ir 2.76, 4 Mn 2.78, 2 Sc 3.07
Sc: 0.7171 0.2171 0.5000  4 Ir 2.74, 2 Mn 3.02, 2 Sc 3.07
Mn: 0.4491 0.4491 0.0000  2 Ir 2.57, 4 Sc 2.78
Ir: 0.2366 0.7366 0.5000  2 Mn 2.57, 6 Sc 2.74-2.76

* total magnetization: 0.711 μB per atom
* electronic total energy: -120.4 eV per cell
* formation energy: -639 meV/atom

=====

[4]
Here is a PBEsol-optimized structure of Sc2MnIr from the Alexandria database. Energies are from meta-GGA SCAN.

Unit cell a=9.3263 b=9.3263 c=9.3263 alpha=17.96 beta=17.96 gamma=17.96
With the nearest neighbours (Å) after each atom.
Positions (direct):
Sc: 0.0895 0.0895 0.0895  1 Ir 2.46, 3 Mn 2.71
Sc: 0.9105 0.9105 0.9105  1 Ir 2.46, 3 Mn 2.71
Mn: 0.5000 0.5000 0.5000  6 Sc 2.71, 6 Mn 2.91
Ir: 0.0000 0.0000 0.0000  2 Sc 2.46

* total magnetization: 0.565 μB per atom
* electronic total energy: -117.1 eV per cell
* formation energy: 184 meV/atom

=====

[5]
Here is a PBEsol-optimized structure of Sc2MnIr from the Alexandria database. Energies are from meta-GGA SCAN.

Unit cell a=9.2019 b=9.2019 c=9.2019 alpha=18.84 beta=18.84 gamma=18.84
With the nearest neighbours (Å) after each atom.
Positions (direct):
Sc: 0.0000 0.0000 0.0000  3 Ir 2.66
Sc: 0.2286 0.2286 0.2286  3 Mn 2.80, 6 Sc 3.01
Mn: 0.4811 0.4811 0.4811  3 Ir 2.64, 3 Sc 2.80
Ir: 0.7411 0.7411 0.7411  3 Mn 2.64, 3 Sc 2.66

* total magnetization: 0.754 μB per atom
* electronic total energy: -118.2 eV per cell
* formation energy: -96 meV/atom

=====

[6]
Here is a PBEsol-optimized structure of Sc2MnIr from the Alexandria database. Energies are from meta-GGA SCAN.

Unit cell a=2.8544 b=2.8544 c=8.2063 alpha=90.00 beta=90.00 gamma=90.00
With the nearest neighbours (Å) after each atom.
Positions (direct):
Sc: 0.0000 0.0000 0.0000  4 Mn 2.74, 4 Sc 2.85
Sc: 0.5000 0.5000 0.3505  4 Ir 2.84, 4 Sc 2.85
Mn: 0.5000 0.5000 0.7735  4 Ir 2.50, 4 Sc 2.74
Ir: 0.0000 0.0000 0.5944  4 Mn 2.50

* total magnetization: 0.000 μB per atom
* electronic total energy: -118.6 eV per cell
* formation energy: -196 meV/atom

=====

[7]
Here is a PBEsol-optimized structure of ScMnIr2 from the Alexandria database. Energies are from meta-GGA SCAN.

Unit cell a=4.8585 b=4.8585 c=4.5649 alpha=100.70 beta=100.70 gamma=34.05
With the nearest neighbours (Å) after each atom.
Positions (direct):
Sc: 0.0000 0.0000 0.0000  7 Ir 2.68-2.80, 3 Mn 2.74-2.93, 2 Sc 2.84
Mn: 0.7659 0.7659 0.2844  7 Ir 2.57-2.82, 1 Sc 2.74, 2 Mn 2.84
Ir: 0.2467 0.2467 0.7451  4 Mn 2.57-2.82, 5 Ir 2.72-2.84, 3 Sc 2.76-2.80
Ir: 0.5036 0.5036 0.4986  3 Mn 2.65-2.80, 4 Sc 2.68-2.70, 5 Ir 2.72-2.84

* total magnetization: 0.856 μB per atom
* electronic total energy: -177.0 eV per cell
* formation energy: -576 meV/atom

=====

[8]
Here is a PBEsol-optimized structure of Sc2TiMnIr from the Alexandria database. Energies are from meta-GGA SCAN.

Unit cell a=4.5791 b=4.5791 c=4.4786 alpha=90.00 beta=90.00 gamma=90.00
With the nearest neighbours (Å) after each atom.
Positions (direct):
Sc: 0.0000 0.5000 0.0000  2 Mn 2.29
Sc: 0.5000 0.0000 0.0000  2 Mn 2.29
Ti: 0.0000 0.0000 0.5000  8 Sc 3.20, 4 Ir 3.24
Mn: 0.5000 0.5000 0.0000  2 Ir 2.24, 4 Sc 2.29
Ir: 0.5000 0.5000 0.5000  2 Mn 2.24

* total magnetization: 0.349 μB per atom
* electronic total energy: -132.6 eV per cell
* formation energy: 249 meV/atom

=====

[9]
Here is a PBEsol-optimized structure of MnIr3Se from the Alexandria database. Energies are from meta-GGA SCAN.

Unit cell a=4.4274 b=4.4274 c=4.4274 alpha=90.00 beta=90.00 gamma=90.00
With the nearest neighbours (Å) after each atom.
Positions (direct):
Mn: 0.0000 0.0000 0.0000  6 Ir 2.21
Ir: 0.0000 0.0000 0.5000  2 Mn 2.21
Ir: 0.0000 0.5000 0.0000  2 Mn 2.21
Ir: 0.5000 0.0000 0.0000  2 Mn 2.21
Se: 0.5000 0.5000 0.5000  12 Ir 3.13

* total magnetization: 0.000 μB per atom
* electronic total energy: -243.3 eV per cell
* ΔE_f (raw): 1667 meV/atom

=====

[10]
Here is a PBEsol-optimized structure of Mn2Ir2Se from the Alexandria database. Energies are from meta-GGA SCAN.

Unit cell a=6.8800 b=6.8800 c=6.8800 alpha=152.34 beta=152.34 gamma=39.52
With the nearest neighbours (Å) after each atom.
Positions (direct):
Mn: 0.2500 0.7500 0.5000  4 Mn 2.33, 4 Ir 2.48
Mn: 0.7500 0.2500 0.5000  4 Mn 2.33, 4 Ir 2.48
Ir: 0.1067 0.1067 0.0000  4 Mn 2.48, 4 Se 2.71, 1 Ir 2.76
Ir: 0.8933 0.8933 0.0000  4 Mn 2.48, 4 Se 2.71, 1 Ir 2.76
Se: 0.5000 0.5000 0.0000  8 Ir 2.71

* total magnetization: 0.492 μB per atom
* electronic total energy: -196.6 eV per cell
* ΔE_f (raw): 437 meV/atom

=====

[11]
Here is a PBEsol-optimized structure of Mn2SiIr from the Alexandria database. Energies are from meta-GGA SCAN.

Unit cell a=4.3615 b=4.3615 c=4.3615 alpha=128.93 beta=128.93 gamma=75.12
With the nearest neighbours (Å) after each atom.
Positions (direct):
Mn: 0.0000 0.0000 0.0000  4 Mn 2.55, 4 Ir 2.55, 4 Si 2.66
Mn: 0.7500 0.2500 0.5000  4 Mn 2.55, 4 Si 2.55, 4 Ir 2.66
Si: 0.5000 0.5000 0.0000  8 Mn 2.55-2.66, 4 Ir 2.55
Ir: 0.2500 0.7500 0.5000  8 Mn 2.55-2.66, 4 Si 2.55

* total magnetization: 0.868 μB per atom
* electronic total energy: -119.5 eV per cell
* ΔE_f (raw): -475 meV/atom

=====

[12]
Here is a PBEsol-optimized structure of Mn2SiIr from the Alexandria database. Energies are from meta-GGA SCAN.

Unit cell a=3.6059 b=3.6059 c=3.7830 alpha=90.00 beta=90.00 gamma=90.00
With the nearest neighbours (Å) after each atom.
Positions (direct):
Mn: 0.0000 0.5000 0.0000  4 Mn 2.55, 4 Ir 2.61, 4 Si 2.61
Mn: 0.5000 0.0000 0.0000  4 Mn 2.55, 4 Ir 2.61, 4 Si 2.61
Si: 0.0000 0.0000 0.5000  4 Ir 2.55, 8 Mn 2.61
Ir: 0.5000 0.5000 0.5000  4 Si 2.55, 8 Mn 2.61

* total magnetization: 1.328 μB per atom
* electronic total energy: -119.9 eV per cell
* ΔE_f (raw): -568 meV/atom

=====

[13]
Here is a PBEsol-optimized structure of MnSiIr2 from the Alexandria database. Energies are from meta-GGA SCAN.

Unit cell a=3.9152 b=3.9152 c=3.4277 alpha=90.00 beta=90.00 gamma=90.00
With the nearest neighbours (Å) after each atom.
Positions (direct):
Mn: 0.0000 0.0000 0.0000  8 Ir 2.60, 4 Si 2.77
Si: 0.5000 0.5000 0.0000  8 Ir 2.60, 4 Mn 2.77
Ir: 0.0000 0.5000 0.5000  4 Mn 2.60, 4 Si 2.60, 4 Ir 2.77
Ir: 0.5000 0.0000 0.5000  4 Mn 2.60, 4 Si 2.60, 4 Ir 2.77

* total magnetization: 0.927 μB per atom
* electronic total energy: -173.0 eV per cell
* ΔE_f (raw): -630 meV/atom

=====

[14]
Here is a PBEsol-optimized structure of Mn2SiIr from the Alexandria database. Energies are from meta-GGA SCAN.

Unit cell a=4.0754 b=4.0754 c=4.0754 alpha=60.00 beta=60.00 gamma=60.00
With the nearest neighbours (Å) after each atom.
Positions (direct):
Mn: 0.0000 0.0000 0.0000  4 Mn 2.50, 4 Si 2.50
Mn: 0.2500 0.2500 0.2500  4 Mn 2.50, 4 Ir 2.50
Si: 0.7500 0.7500 0.7500  4 Ir 2.50, 4 Mn 2.50
Ir: 0.5000 0.5000 0.5000  4 Mn 2.50, 4 Si 2.50

* total magnetization: 0.750 μB per atom
* electronic total energy: -120.0 eV per cell
* ΔE_f (raw): -589 meV/atom

=====

[15]
Here is a PBEsol-optimized structure of Mn2SiIr from the Alexandria database. Energies are from meta-GGA SCAN.

Unit cell a=2.9375 b=4.0301 c=4.0576 alpha=90.00 beta=90.00 gamma=90.00
With the nearest neighbours (Å) after each atom.
Positions (direct):
Mn: 0.0000 0.0000 0.0000  4 Mn 2.49, 4 Ir 2.50
Mn: 0.5000 0.5000 0.0000  4 Mn 2.49, 4 Si 2.50
Si: 0.0000 0.5000 0.5000  4 Ir 2.49, 4 Mn 2.50
Ir: 0.5000 0.0000 0.5000  4 Si 2.49, 4 Mn 2.50

* total magnetization: 0.750 μB per atom
* electronic total energy: -119.7 eV per cell
* ΔE_f (raw): -531 meV/atom

=====

[16]
Here is a PBEsol-optimized structure of MnSiIr from the Alexandria database. Energies are from meta-GGA SCAN.

Unit cell a=4.0688 b=4.0688 c=2.8017 alpha=90.00 beta=90.00 gamma=120.00
With the nearest neighbours (Å) after each atom.
Positions (direct):
Mn: 0.0000 0.0000 0.0000  6 Ir 2.74, 6 Si 2.74, 2 Mn 2.80
Si: 0.6667 0.3333 0.5000  3 Ir 2.35
Ir: 0.3333 0.6667 0.5000  3 Si 2.35

* total magnetization: 1.234 μB per atom
* electronic total energy: -101.3 eV per cell
* ΔE_f (raw): -642 meV/atom

=====

[17]
Here is a PBEsol-optimized structure of MnSiIr2 from the Alexandria database. Energies are from meta-GGA SCAN.

Unit cell a=4.5886 b=4.5886 c=4.5886 alpha=132.50 beta=132.50 gamma=69.44
With the nearest neighbours (Å) after each atom.
Positions (direct):
Mn: 0.0000 0.0000 0.0000  8 Ir 2.61-2.64, 4 Si 2.64
Si: 0.7500 0.2500 0.5000  8 Ir 2.61-2.64, 4 Mn 2.64
Ir: 0.2500 0.7500 0.5000  4 Si 2.61, 4 Ir 2.64, 4 Mn 2.64
Ir: 0.5000 0.5000 0.0000  4 Mn 2.61, 4 Ir 2.64, 4 Si 2.64

* total magnetization: 0.677 μB per atom
* electronic total energy: -172.1 eV per cell
* ΔE_f (raw): -397 meV/atom

=====

[18]
Here is a PBEsol-optimized structure of Mn2SiIr from the Alexandria database. Energies are from meta-GGA SCAN.

Unit cell a=4.4600 b=4.4600 c=4.3088 alpha=105.65 beta=105.65 gamma=36.38
With the nearest neighbours (Å) after each atom.
Positions (direct):
Mn: 0.0000 0.0000 0.0000  3 Mn 2.40-2.41, 4 Ir 2.55-2.59, 2 Si 2.57
Mn: 0.7399 0.7399 0.1241  3 Mn 2.40-2.41, 4 Si 2.48-2.66
Si: 0.2568 0.2568 0.6589  3 Ir 2.43-2.45, 6 Mn 2.48-2.66
Ir: 0.5124 0.5124 0.5018  3 Si 2.43-2.45, 4 Mn 2.55-2.59

* total magnetization: 0.228 μB per atom
* electronic total energy: -119.7 eV per cell
* ΔE_f (raw): -529 meV/atom

=====

[19]
Here is a PBEsol-optimized structure of Mn2SiIr from the Alexandria database. Energies are from meta-GGA SCAN.

Unit cell a=2.8672 b=2.8672 c=5.7886 alpha=90.00 beta=90.00 gamma=90.00
With the nearest neighbours (Å) after each atom.
Positions (direct):
Mn: 0.0000 0.0000 0.0000  4 Mn 2.42, 1 Si 2.63, 4 Ir 2.65
Mn: 0.5000 0.5000 0.2270  4 Si 2.42, 4 Mn 2.42
Si: 0.0000 0.0000 0.4538  5 Mn 2.42-2.63, 4 Ir 2.50
Ir: 0.5000 0.5000 0.7063  4 Si 2.50, 5 Mn 2.65-2.77

* total magnetization: 0.769 μB per atom
* electronic total energy: -119.6 eV per cell
* ΔE_f (raw): -502 meV/atom

=====

[20]
Here is a PBEsol-optimized structure of MnSiIr2 from the Alexandria database. Energies are from meta-GGA SCAN.

Unit cell a=3.8362 b=5.1832 c=5.1832 alpha=30.24 beta=90.00 gamma=90.00
With the nearest neighbours (Å) after each atom.
Positions (direct):
Mn: 0.0000 0.0000 0.0000  4 Si 2.55, 7 Ir 2.63-2.73, 2 Mn 2.70
Si: 0.5000 0.3991 0.3991  3 Ir 2.30-2.35, 4 Mn 2.55
Ir: 0.0000 0.2628 0.2628  2 Si 2.35, 1 Mn 2.63
Ir: 0.5000 0.6291 0.6291  1 Si 2.30

* total magnetization: 0.866 μB per atom
* electronic total energy: -172.0 eV per cell
* ΔE_f (raw): -371 meV/atom